Compound: GaFeAgHg
Source: the Open Quantum Materials Database
Functional: PBE-GGA
Structure: relaxed

The space group is F-43m (No. 216) and the conventional cell measures 6.5273, 6.5273 and 6.5273 Å, with angles of 90.00, 90.00 and 90.00 degrees. Symmetry generates all atoms from Ga at (0.0000, 0.0000, 0.0000), Fe at (0.2500, 0.2500, 0.2500), Ag at (0.0000, 0.0000, 0.5000) and Hg at (0.2500, 0.2500, 0.7500).

Its total energy is -3.2652 eV per atom.